1.
# La12SmCo7, optimized geometry, DFT PBE
# Total magnetic moment: 0.0 Bohr magnetons per cell
# Formation energy from the elements: -93.3 meV/atom
# Volume: 29.078 A^3/atom
data_La12SmCo7
_chemical_formula_sum 'La36 Sm3 Co21'
_cell_length_a 14.3348
_cell_length_b 14.3348
_cell_length_c 9.8040
_cell_angle_alpha 90.00
_cell_angle_beta 90.00
_cell_angle_gamma 120.00
_symmetry_space_group_name_H-M 'R -3'
_symmetry_Int_Tables_number 148
_symmetry_space_group_name_Hall '-R 3'
loop_
_atom_site_label
_atom_site_type_symbol
_atom_site_fract_x
_atom_site_fract_y
_atom_site_fract_z
La1 La 0.0246 0.5852 0.1606
La2 La 0.0482 0.1712 0.8277
Sm1 Sm 0.0000 0.0000 0.5000
Co1 Co 0.0000 0.0000 0.0000
Co2 Co 0.0428 0.1894 0.3299

=====

2.
# La2SmCo, optimized geometry, DFT PBE
# Total magnetic moment: 0.0 Bohr magnetons per cell
# Formation energy from the elements: 56.6 meV/atom
# Polymorph energy (0 for the lowest one): 3.46 kcal/mol of atoms
# Volume: 29.062 A^3/atom
data_La2SmCo
_chemical_formula_sum 'La2 Sm1 Co1'
_cell_length_a 3.545
_cell_length_b 3.545
_cell_length_c 9.251
_cell_angle_alpha 90.00
_cell_angle_beta 90.00
_cell_angle_gamma 90.00
_symmetry_space_group_name_H-M 'P 4/m m m'
_symmetry_Int_Tables_number 123
_symmetry_space_group_name_Hall '-P 4 2'
loop_
_atom_site_label
_atom_site_type_symbol
_atom_site_fract_x
_atom_site_fract_y
_atom_site_fract_z
La1 La 0.000 0.000 0.177
Sm1 Sm 0.500 0.500 0.500
Co1 Co 0.500 0.500 0.000

=====

3.
# La3SmCo, optimized geometry, DFT PBE
# Total magnetic moment: 0.0 Bohr magnetons per cell
# Formation energy from the elements: 30.3 meV/atom
# Polymorph energy (0 for the lowest one): 1.35 kcal/mol of atoms
# Volume: 33.118 A^3/atom
data_La3SmCo
_chemical_formula_sum 'La3 Sm1 Co1'
_cell_length_a 5.491
_cell_length_b 5.491
_cell_length_c 5.491
_cell_angle_alpha 90.00
_cell_angle_beta 90.00
_cell_angle_gamma 90.00
_symmetry_space_group_name_H-M 'P m -3 m'
_symmetry_Int_Tables_number 221
_symmetry_space_group_name_Hall '-P 4 2 3'
loop_
_atom_site_label
_atom_site_type_symbol
_atom_site_fract_x
_atom_site_fract_y
_atom_site_fract_z
La1 La 0.000 0.000 0.500
Sm1 Sm 0.500 0.500 0.500
Co1 Co 0.000 0.000 0.000

=====

4.
# La3SmCo, optimized geometry, DFT PBE
# Total magnetic moment: 0.0 Bohr magnetons per cell
# Formation energy from the elements: -28.4 meV/atom
# Polymorph energy (0 for the lowest one): 0.00 kcal/mol of atoms
# Volume: 32.687 A^3/atom
data_La3SmCo
_chemical_formula_sum 'La6 Sm2 Co2'
_cell_length_a 7.711
_cell_length_b 6.629
_cell_length_c 6.394
_cell_angle_alpha 90.00
_cell_angle_beta 90.00
_cell_angle_gamma 90.00
_symmetry_space_group_name_H-M 'P m n 21'
_symmetry_Int_Tables_number 31
loop_
_symmetry_equiv_pos_as_xyz
'x,y,z'
'-x+1/2,-y,z+1/2'
'-x,y,z'
'x+1/2,-y,z+1/2'
loop_
_atom_site_label
_atom_site_type_symbol
_atom_site_fract_x
_atom_site_fract_y
_atom_site_fract_z
La1 La 0.000 0.150 0.000
La2 La 0.249 0.669 0.997
Sm1 Sm 0.000 0.839 0.496
Co1 Co 0.000 0.496 0.245